DFT (GGA-PBE) results for CeGe2PtRh2 after structural relaxation.

Geometry as extended XYZ:
```
6
Lattice="4.6904 0.0000 0.0000 0.0000 4.6904 0.0000 0.0000 0.0000 5.5475" Properties=species:S:1:pos:R:3 pbc="T T T"
Ce 0.0000 0.0000 2.7737
Ge 2.3452 0.0000 0.0000
Ge 0.0000 2.3452 0.0000
Pt 0.0000 0.0000 0.0000
Rh 2.3452 2.3452 4.1292
Rh 2.3452 2.3452 1.4183
```

Summary:
ΔH_f (0 K): -0.20 eV/atom